# Ca2In8Sn PBE relaxed
data_Ca2In8Sn
_cell_length_a 4.740
_cell_length_b 4.740
_cell_length_c 13.636
_cell_angle_alpha 90.00
_cell_angle_beta 90.00
_cell_angle_gamma 90.00
_space_group_name_H-M_alt 'P 4/m m m'
_space_group_IT_number 123
_space_group_name_Hall '-P 4 2'
loop_
_atom_site_label
_atom_site_type_symbol
_atom_site_fract_x
_atom_site_fract_y
_atom_site_fract_z
Ca1 Ca 0.000 0.000 0.173
In1 In 0.000 0.500 0.000
In2 In 0.000 0.500 0.347
In3 In 0.500 0.500 0.169
Sn1 Sn 0.000 0.000 0.500
# Magnetization ... 0.0 μB per formula unit
# Density of states at the Fermi level ... 5.7 states/eV/cell
# DFT formation energy ... -0.188 eV/atom